Entry 1:
Density functional theory data (PBE) for Tc5Ni after structural relaxation.

Cell lengths 4.965, 4.965, 4.515 Å; angles 90.00, 90.00, 120.00 degrees
Element x y z (fractional)
Tc (0.333, 0.667, 0.000)
Tc (0.667, 0.333, 0.000)
Tc (0.000, 0.500, 0.500)
Tc (0.500, 0.500, 0.500)
Tc (0.500, 0.000, 0.500)
Ni (0.000, 0.000, 0.000)

Distance to the lowest polymorph of the same formula ... 679.0 meV/atom
Crystal system ... hexagonal
E_form ... 0.65 eV per atom
Space group ... P6/mmm, No. 191

Entry 2:
Density functional theory data (PBE) for TcNi after structural relaxation.

Cell lengths 2.624, 2.624, 7.422 Å; angles 90.00, 90.00, 90.00 degrees
Element x y z (fractional)
Ni (0.250, 0.250, 0.117)
Ni (0.750, 0.750, 0.883)
Tc (0.250, 0.250, 0.642)
Tc (0.750, 0.750, 0.358)

Distance to the lowest polymorph of the same formula ... 82.8 meV/atom
Crystal system ... tetragonal
E_form ... 0.04 eV per atom
Space group ... P4/nmm, No. 129

Entry 3:
Density functional theory data (PBE) for TcNi after structural relaxation.

Cell lengths 2.632, 12.870, 4.505 Å; angles 90.00, 90.00, 90.00 degrees
Element x y z (fractional)
Tc (0.000, 0.175, 0.355)
Tc (0.500, 0.000, 0.527)
Tc (0.500, 0.500, 0.027)
Tc (0.000, 0.825, 0.355)
Tc (0.000, 0.675, 0.855)
Tc (0.000, 0.325, 0.855)
Ni (0.500, 0.845, 0.869)
Ni (0.500, 0.655, 0.369)
Ni (0.000, 0.000, 0.026)
Ni (0.500, 0.345, 0.369)
Ni (0.500, 0.155, 0.869)
Ni (0.000, 0.500, 0.526)

Distance to the lowest polymorph of the same formula ... 115.2 meV/atom
Crystal system ... orthorhombic
E_form ... 0.07 eV per atom
Space group ... Amm2, No. 38

Entry 4:
Density functional theory data (PBE) for Tc5Ni after structural relaxation.

Cell lengths 2.763, 5.119, 6.379 Å; angles 76.15, 90.00, 105.66 degrees
Element x y z (fractional)
Tc (0.391, 0.782, 0.729)
Tc (0.719, 0.437, 0.054)
Tc (0.054, 0.108, 0.385)
Tc (0.338, 0.677, 0.332)
Tc (0.665, 0.330, 0.667)
Ni (0.999, 0.999, 0.999)

Distance to the lowest polymorph of the same formula ... 43.3 meV/atom
Crystal system ... monoclinic
E_form ... 0.02 eV per atom
Space group ... Cm, No. 8

Entry 5:
Density functional theory data (PBE) for Tc5Ni4 after structural relaxation.

Cell lengths 3.730, 5.891, 5.891 Å; angles 95.75, 108.46, 71.54 degrees
Element x y z (fractional)
Ni (0.337, 0.663, 0.337)
Ni (0.000, 0.337, 0.337)
Ni (0.663, 0.337, 0.663)
Ni (0.000, 0.663, 0.663)
Tc (0.331, 0.338, 0.000)
Tc (0.669, 0.000, 0.338)
Tc (0.000, 0.000, 0.000)
Tc (0.669, 0.662, 0.000)
Tc (0.331, 0.000, 0.662)

Distance to the lowest polymorph of the same formula ... 0.0 meV/atom
Crystal system ... tetragonal
E_form ... -0.01 eV per atom
Space group ... I4/mmm, No. 139

Entry 6:
Density functional theory data (PBE) for TcNi5 after structural relaxation.

Cell lengths 2.552, 4.846, 5.989 Å; angles 75.45, 90.00, 105.27 degrees
Each line ends with the local moment (μB).
Element x y z (fractional)
Ni (0.998, 0.997, 0.996)  0.05
Ni (0.055, 0.109, 0.393)  0.11
Ni (0.390, 0.780, 0.720)  0.14
Ni (0.334, 0.668, 0.335)  0.12
Ni (0.669, 0.339, 0.665)  0.18
Tc (0.720, 0.441, 0.057)  0.03

Distance to the lowest polymorph of the same formula ... 26.7 meV/atom
Crystal system ... monoclinic
E_form ... 0.04 eV per atom
Space group ... Cm, No. 8

Entry 7:
Density functional theory data (PBE) for Tc3Ni4 after structural relaxation.

Cell lengths 4.924, 4.924, 4.508 Å; angles 90.00, 90.00, 120.00 degrees
Element x y z (fractional)
Ni (0.667, 0.333, 0.500)
Ni (0.000, 0.000, 0.254)
Ni (0.000, 0.000, 0.746)
Ni (0.333, 0.667, 0.500)
Tc (0.500, 0.500, 0.000)
Tc (0.500, 0.000, 0.000)
Tc (0.000, 0.500, 0.000)

Distance to the lowest polymorph of the same formula ... 356.9 meV/atom
Crystal system ... hexagonal
E_form ... 0.31 eV per atom
Space group ... P6/mmm, No. 191

Entry 8:
Density functional theory data (PBE) for TcNi after structural relaxation.

Cell lengths 7.246, 7.246, 7.246 Å; angles 90.00, 90.00, 90.00 degrees
Element x y z (fractional)
Ni (0.309, 0.309, 0.691)
Ni (0.191, 0.191, 0.191)
Ni (0.691, 0.309, 0.309)
Ni (0.309, 0.691, 0.309)
Ni (0.191, 0.809, 0.809)
Ni (0.809, 0.191, 0.809)
Ni (0.691, 0.691, 0.691)
Ni (0.809, 0.809, 0.191)
Tc (0.870, 0.870, 0.870)
Tc (0.130, 0.130, 0.870)
Tc (0.630, 0.370, 0.630)
Tc (0.870, 0.130, 0.130)
Tc (0.370, 0.370, 0.370)
Tc (0.130, 0.870, 0.130)
Tc (0.370, 0.630, 0.630)
Tc (0.630, 0.630, 0.370)

Distance to the lowest polymorph of the same formula ... 1632.0 meV/atom
Crystal system ... cubic
E_form ... 1.59 eV per atom
Space group ... I-43m, No. 217

Entry 9:
Density functional theory data (PBE) for TcNi after structural relaxation.

Cell lengths 9.271, 4.173, 5.281 Å; angles 90.00, 90.00, 90.00 degrees
Element x y z (fractional)
Tc (0.168, 0.750, 0.758)
Tc (0.332, 0.250, 0.258)
Tc (0.589, 0.250, 0.996)
Tc (0.668, 0.750, 0.742)
Tc (0.411, 0.750, 0.004)
Tc (0.911, 0.750, 0.496)
Tc (0.089, 0.250, 0.504)
Tc (0.832, 0.250, 0.242)
Ni (0.839, 0.250, 0.761)
Ni (0.161, 0.750, 0.239)
Ni (0.920, 0.750, 0.991)
Ni (0.339, 0.250, 0.739)
Ni (0.080, 0.250, 0.009)
Ni (0.420, 0.750, 0.509)
Ni (0.661, 0.750, 0.261)
Ni (0.580, 0.250, 0.491)

Distance to the lowest polymorph of the same formula ... 38.5 meV/atom
Crystal system ... orthorhombic
E_form ... 0.00 eV per atom
Space group ... Pnma, No. 62

Entry 10:
Density functional theory data (PBE) for Tc3Ni after structural relaxation.

Cell lengths 2.708, 4.629, 4.662 Å; angles 99.04, 90.00, 107.01 degrees
Element x y z (fractional)
Ni (0.000, 0.000, 0.000)
Tc (0.252, 0.503, 0.757)
Tc (0.500, 0.000, 0.500)
Tc (0.748, 0.497, 0.243)

Distance to the lowest polymorph of the same formula ... 186.2 meV/atom
Crystal system ... monoclinic
E_form ... 0.09 eV per atom
Space group ... C2/m, No. 12

Entry 11:
Density functional theory data (PBE) for TcNi after structural relaxation.

Cell lengths 4.575, 5.029, 2.620 Å; angles 74.90, 90.00, 117.77 degrees
Element x y z (fractional)
Ni (0.078, 0.493, 0.253)
Ni (0.005, 0.007, 0.997)
Tc (0.490, 0.986, 0.507)
Tc (0.593, 0.514, 0.743)

Distance to the lowest polymorph of the same formula ... 91.0 meV/atom
Crystal system ... monoclinic
E_form ... 0.05 eV per atom
Space group ... C2/m, No. 12

Entry 12:
Density functional theory data (PBE) for TcNi3 after structural relaxation.

Cell lengths 2.557, 4.417, 4.420 Å; angles 99.23, 90.00, 106.82 degrees
Element x y z (fractional)
Ni (0.998, 0.996, 0.000)
Ni (0.502, 0.004, 0.500)
Ni (0.250, 0.500, 0.750)
Tc (0.750, 0.500, 0.250)

Crystal system ... monoclinic
E_form ... 0.02 eV per atom
Space group ... C2/m, No. 12